Record 1
First-principles (PBE) data for a relaxed Nd4InHgO crystal, as listed in Alexandria.

Summary:
Space-group type: No. 63
ΔE_f (raw), eV per atom: -1.031

Structure (CIF):
```
data_Nd4InHgO
_cell_length_a 8.9169
_cell_length_b 8.9169
_cell_length_c 6.8826
_cell_angle_alpha 90.00
_cell_angle_beta 90.00
_cell_angle_gamma 134.71
_symmetry_space_group_name_H-M 'P 1'
_symmetry_Int_Tables_number 1
loop_
_symmetry_equiv_pos_as_xyz
'x,y,z'
loop_
_atom_site_label
_atom_site_fract_x
_atom_site_fract_y
_atom_site_fract_z
_atom_site_occupancy
Nd1 0.0000 0.5000 0.0000 1
Nd2 0.0000 0.5000 0.5000 1
Nd3 0.0716 0.9284 0.7500 1
Nd4 0.4199 0.5801 0.7500 1
Nd5 0.5000 0.0000 0.0000 1
Nd6 0.5000 0.0000 0.5000 1
Nd7 0.5801 0.4199 0.2500 1
Nd8 0.9284 0.0716 0.2500 1
In1 0.3878 0.6122 0.2500 1
In2 0.6122 0.3878 0.7500 1
Hg1 0.1167 0.8833 0.2500 1
Hg2 0.8833 0.1167 0.7500 1
O1 0.2519 0.7481 0.7500 1
O2 0.7481 0.2519 0.2500 1
```

Record 2
First-principles (PBE) data for a relaxed GaB2O6 crystal, as listed in Alexandria.

Summary:
Space-group type: No. 164
ΔE_f (raw), eV per atom: -1.398

Structure (CIF):
```
data_GaB2O6
_cell_length_a 5.1512
_cell_length_b 5.1512
_cell_length_c 5.0279
_cell_angle_alpha 90.00
_cell_angle_beta 90.00
_cell_angle_gamma 120.00
_symmetry_space_group_name_H-M 'P 1'
_symmetry_Int_Tables_number 1
loop_
_symmetry_equiv_pos_as_xyz
'x,y,z'
loop_
_atom_site_label
_atom_site_fract_x
_atom_site_fract_y
_atom_site_fract_z
_atom_site_occupancy
Ga1 0.0000 0.0000 0.0000 1
B1 0.3333 0.6667 0.2144 1
B2 0.6667 0.3333 0.7856 1
O1 0.1806 0.3612 0.2206 1
O2 0.1806 0.8194 0.2206 1
O3 0.3612 0.1806 0.7794 1
O4 0.6388 0.8194 0.2206 1
O5 0.8194 0.1806 0.7794 1
O6 0.8194 0.6388 0.7794 1
```

Record 3
First-principles (PBE) data for a relaxed Mg2MnCl crystal, as listed in Alexandria.

Summary:
Space-group type: No. 65
ΔE_f (raw), eV per atom: -0.214
E above lowest polymorph, meV per atom: 92

Structure (CIF):
```
data_Mg2MnCl
_cell_length_a 3.1380
_cell_length_b 3.1380
_cell_length_c 8.1923
_cell_angle_alpha 90.00
_cell_angle_beta 90.00
_cell_angle_gamma 106.73
_symmetry_space_group_name_H-M 'P 1'
_symmetry_Int_Tables_number 1
loop_
_symmetry_equiv_pos_as_xyz
'x,y,z'
loop_
_atom_site_label
_atom_site_fract_x
_atom_site_fract_y
_atom_site_fract_z
_atom_site_occupancy
Mg1 0.0000 0.0000 0.2455 1
Mg2 0.0000 0.0000 0.7545 1
Mn1 0.5000 0.5000 0.0000 1
Cl1 0.5000 0.5000 0.5000 1
```

Record 4
First-principles (PBE) data for a relaxed K3TlSe3 crystal, as listed in Alexandria.

Summary:
Space-group type: No. 12
ΔE_f (raw), eV per atom: -0.898
E above lowest polymorph, meV per atom: 8

Structure (CIF):
```
data_K3TlSe3
_cell_length_a 8.3869
_cell_length_b 8.3869
_cell_length_c 8.0187
_cell_angle_alpha 95.06
_cell_angle_beta 95.06
_cell_angle_gamma 113.82
_symmetry_space_group_name_H-M 'P 1'
_symmetry_Int_Tables_number 1
loop_
_symmetry_equiv_pos_as_xyz
'x,y,z'
loop_
_atom_site_label
_atom_site_fract_x
_atom_site_fract_y
_atom_site_fract_z
_atom_site_occupancy
K1 0.1742 0.8258 0.0000 1
K2 0.2331 0.7669 0.5000 1
K3 0.3944 0.3944 0.1449 1
K4 0.6056 0.6056 0.8551 1
K5 0.7669 0.2331 0.5000 1
K6 0.8258 0.1742 0.0000 1
Tl1 0.1914 0.1914 0.6430 1
Tl2 0.8086 0.8086 0.3570 1
Se1 0.1016 0.1016 0.3003 1
Se2 0.1562 0.4690 0.7802 1
Se3 0.4690 0.1562 0.7802 1
Se4 0.5310 0.8438 0.2198 1
Se5 0.8438 0.5310 0.2198 1
Se6 0.8984 0.8984 0.6997 1
```

Record 5
First-principles (PBE) data for a relaxed SiMo2Pb crystal, as listed in Alexandria.

Summary:
Space-group type: No. 123
ΔE_f (raw), eV per atom: 0.581
E above lowest polymorph, meV per atom: 422

Structure (CIF):
```
data_SiMo2Pb
_cell_length_a 4.5482
_cell_length_b 4.5482
_cell_length_c 3.2909
_cell_angle_alpha 90.00
_cell_angle_beta 90.00
_cell_angle_gamma 90.00
_symmetry_space_group_name_H-M 'P 1'
_symmetry_Int_Tables_number 1
loop_
_symmetry_equiv_pos_as_xyz
'x,y,z'
loop_
_atom_site_label
_atom_site_fract_x
_atom_site_fract_y
_atom_site_fract_z
_atom_site_occupancy
Si1 0.0000 0.0000 0.0000 1
Mo1 0.0000 0.5000 0.5000 1
Mo2 0.5000 0.0000 0.5000 1
Pb1 0.5000 0.5000 0.0000 1
```

Record 6
First-principles (PBE) data for a relaxed TiMnTc2 crystal, as listed in Alexandria.

Summary:
Formation energy, meV per atom: -213
Space-group type: No. 123

Structure (CIF):
```
data_TiMnTc2
_cell_length_a 4.2925
_cell_length_b 4.2925
_cell_length_c 3.0737
_cell_angle_alpha 90.00
_cell_angle_beta 90.00
_cell_angle_gamma 90.00
_symmetry_space_group_name_H-M 'P 1'
_symmetry_Int_Tables_number 1
loop_
_symmetry_equiv_pos_as_xyz
'x,y,z'
loop_
_atom_site_label
_atom_site_fract_x
_atom_site_fract_y
_atom_site_fract_z
_atom_site_occupancy
Ti1 0.0000 0.0000 0.0000 1
Mn1 0.5000 0.5000 0.0000 1
Tc1 0.0000 0.5000 0.5000 1
Tc2 0.5000 0.0000 0.5000 1
```

Record 7
First-principles (PBE) data for a relaxed HgSbSe2 crystal, as listed in Alexandria.

Summary:
Space-group type: No. 47
ΔE_f (raw), eV per atom: 0.308
E above lowest polymorph, meV per atom: 459

Structure (CIF):
```
data_HgSbSe2
_cell_length_a 3.6158
_cell_length_b 4.6338
_cell_length_c 5.7976
_cell_angle_alpha 90.00
_cell_angle_beta 90.00
_cell_angle_gamma 90.00
_symmetry_space_group_name_H-M 'P 1'
_symmetry_Int_Tables_number 1
loop_
_symmetry_equiv_pos_as_xyz
'x,y,z'
loop_
_atom_site_label
_atom_site_fract_x
_atom_site_fract_y
_atom_site_fract_z
_atom_site_occupancy
Hg1 0.0000 0.0000 0.0000 1
Sb1 0.5000 0.5000 0.0000 1
Se1 0.0000 0.5000 0.5000 1
Se2 0.5000 0.0000 0.5000 1
```

no.,magnetic moment (μB per cell),density (Mg/m³)
1,0.00,7.76
2,2.97,2.69
3,3.53,2.99
4,0.00,3.64
5,0.00,10.42
6,1.70,8.76
7,0.00,8.21